A relaxed structure of SbAs2Se, computed with GGA-PBE.

E_tot in eV/atom: -3.88
Uncorrected formation energy in eV/atom: 0.3446
Calculated volume in A^3/atom: 21.46

Structure (CIF):
```
data_SbAs2Se
_symmetry_space_group_name_H-M 'P m m m'
_symmetry_Int_Tables_number 47
_cell_length_a 3.4132
_cell_length_b 5.0079
_cell_length_c 5.0209
_cell_angle_alpha 90.00
_cell_angle_beta 90.00
_cell_angle_gamma 90.00
loop_
_symmetry_equiv_pos_as_xyz
'x,y,z'
'-x,-y,-z'
'-x,-y,z'
'x,y,-z'
'x,-y,-z'
'-x,y,z'
'-x,y,-z'
'x,-y,z'
loop_
_atom_site_label
_atom_site_fract_x
_atom_site_fract_y
_atom_site_fract_z
Sb1 0.0000 0.0000 0.0000
As1 0.0000 0.5000 0.5000
As2 0.5000 0.5000 0.0000
Se1 0.5000 0.0000 0.5000
```


A relaxed structure of YSn, computed with GGA-PBE.

E_tot in eV/atom: -5.51
E_form in eV per atom: -0.28
Calculated volume in A^3/atom: 30.08

Structure (CIF):
```
data_YSn
_symmetry_space_group_name_H-M 'I 4/m'
_symmetry_Int_Tables_number 87
_symmetry_space_group_name_Hall '-I 4'
_cell_length_a 11.7406
_cell_length_b 11.7406
_cell_length_c 3.4912
_cell_angle_alpha 90.00
_cell_angle_beta 90.00
_cell_angle_gamma 90.00
loop_
_atom_site_label
_atom_site_fract_x
_atom_site_fract_y
_atom_site_fract_z
Y1 0.1225 0.6578 0.0000
Sn1 0.0768 0.1671 0.0000
```


A relaxed structure of PmGdTeBr, computed with GGA-PBE.

E_tot in eV/atom: -7.08
Uncorrected formation energy in eV/atom: -1.1704
Calculated volume in A^3/atom: 26.50

Structure (CIF):
```
data_PmGdTeBr
_symmetry_space_group_name_H-M 'F -4 3 m'
_symmetry_Int_Tables_number 216
_symmetry_space_group_name_Hall 'F -4 2 3'
_cell_length_a 7.5126
_cell_length_b 7.5126
_cell_length_c 7.5126
_cell_angle_alpha 90.00
_cell_angle_beta 90.00
_cell_angle_gamma 90.00
loop_
_atom_site_label
_atom_site_fract_x
_atom_site_fract_y
_atom_site_fract_z
Pm1 0.0000 0.0000 0.0000
Gd1 0.0000 0.0000 0.5000
Te1 0.2500 0.2500 0.2500
Br1 0.2500 0.2500 0.7500
```